A plane-wave DFT calculation with PBE-GGA was carried out for crystalline CoPOsS2 at its relaxed geometry. Values from VASP.

```
&SYSTEM
  ibrav = 0, nat = 5, ntyp = 4
/
ATOMIC_SPECIES
P 30.97 P.upf
Os 190.23 Os.upf
S 32.06 S.upf
Co 58.93 Co.upf
CELL_PARAMETERS angstrom
4.725 0.000 0.000
0.000 4.725 0.000
0.000 0.000 4.442
ATOMIC_POSITIONS angstrom
P 0.000 0.000 2.221
Os 0.000 0.000 0.000
S 0.000 2.363 0.000
S 2.363 0.000 0.000
Co 2.363 2.363 2.221
```

Properties
ρ ... 5763 kg/m3
Formation energy from raw total energies ... 1077 meV/atom
Energy relative to the lowest polymorph listed for this composition ... 0.048 eV per formula unit
DFT total energy ... -5.323 eV/atom
M_tot ... 2.29 μB/cell